Density functional theory data (PBE) for an optimized crystal structure of SmAuNO.

a b c (Å): 4.256 7.536 5.093
angles (deg): 90.00 90.00 90.00
Space group Pmc2_1 (No. 26)
Unique sites:
Sm 0.000 0.162 0.000 x2
Au 0.500 0.480 0.647 x2
N 0.500 0.295 0.926 x2
O 0.000 0.118 0.435 x2

- ΔE to the lowest computed polymorph (meV per atom) = 167
- V (A^3/atom) = 20.418
- spin magnetization (μB per atom) = 0.0945